# Sr2Li

A PBEsol-optimized structure of Sr2Li (meta-GGA SCAN, the Alexandria database).

Summary:
E   -15.5846 eV/atom

POSCAR file:
```
Sr2Li
1.0
6.185 0.000 0.000
-3.092 5.356 0.000
0.000 0.000 7.688
Sr Li
4 2
direct
0.333 0.667 0.750
0.000 0.000 0.000
0.667 0.333 0.250
0.000 0.000 0.500
0.667 0.333 0.750
0.333 0.667 0.250
```